A relaxed structure of Na3AuO2. Source: OQMD via LeMat-Bulk, functional PBE.

## Properties
Volume = 579.59 Å³ per cell
Theoretical density = 5.12 Mg/m³
Electronic total energy = -0.285 Ry per atom

a = 6.8378 Å, b = 6.8378 Å, c = 14.3140 Å
α = 90.00°, β = 90.00°, γ = 120.00°
With the nearest neighbours (Å) after each atom.
Space group R-3c (No. 167, hexagonal axes)
Symmetry-distinct sites (fractional):
Na1 0.0000 0.2547 0.2500  2 O 2.34
Au1 0.0000 0.0000 0.0000  2 O 2.02
O1 0.0000 0.0000 0.1413  1 Au 2.02